This record from Alexandria describes a relaxed Ho4SiNi3 crystal. The functional is PBE.

abc: 3.9474 4.0174 10.2831
angles: 90.00 90.00 90.00
Space group Pmm2 (No. 25)
One atom of each set of equivalent atoms:
Ho  0.0000  0.0000  0.0000 [1 per cell]
Ho  0.0000  0.5000  0.2782 [1 per cell]
Ho  0.5000  0.0000  0.4924 [1 per cell]
Ho  0.5000  0.5000  0.7800 [1 per cell]
Si  0.0000  0.0000  0.7039 [1 per cell]
Ni  0.0000  0.5000  0.5681 [1 per cell]
Ni  0.5000  0.0000  0.2064 [1 per cell]
Ni  0.5000  0.5000  0.0673 [1 per cell]

Calculated values
* calculated total energy: -45.5 eV per cell
* crystal system: orthorhombic